## PrCdPdPt (PBE)

Data for an optimized crystal structure of PrCdPdPt.

Output
crystal system = cubic
energy of formation = -265 kJ/mol of formula units
space group = No. 216

a = 4.9223 Å, b = 4.9223 Å, c = 4.9223 Å
α = 60.00°, β = 60.00°, γ = 60.00°
Closest atoms and distances in Å follow each position.
Fractional positions:
Pr 0.0000 0.0000 0.0000  4 Pd 3.01, 4 Pt 3.01
Pd 0.2500 0.2500 0.2500  4 Cd 3.01, 4 Pr 3.01
Pt 0.7500 0.7500 0.7500  4 Cd 3.01, 4 Pr 3.01
Cd 0.5000 0.5000 0.5000  4 Pt 3.01, 4 Pd 3.01